No. 1
# Cs4BaBr6, relaxed, DFT PBE
# Spin magnetization (μB/atom): 0.00
# Formation energy from raw total energies (eV/atom): -1.89
# E_tot (eV per atom): -3.29
data_Cs4BaBr6
_symmetry_space_group_name_H-M 'R -3 c'
_symmetry_Int_Tables_number 167
_symmetry_space_group_name_Hall '-R 3 2"c'
_cell_length_a 14.2631
_cell_length_b 14.2631
_cell_length_c 17.8232
_cell_angle_alpha 90.00
_cell_angle_beta 90.00
_cell_angle_gamma 120.00
loop_
_atom_site_label
_atom_site_fract_x
_atom_site_fract_y
_atom_site_fract_z
Cs1 0.0000 0.0000 0.2500
Cs2 0.0000 0.3714 0.2500
Ba1 0.0000 0.0000 0.0000
Br1 0.0277 0.1947 0.3943



No. 2
# CsBaBr2, relaxed, DFT PBE
# Spin magnetization (μB/atom): 0.16
# Formation energy from raw total energies (eV/atom): -1.54
# E_tot (eV per atom): -3.07
data_CsBaBr2
_symmetry_space_group_name_H-M 'P 4/m m m'
_symmetry_Int_Tables_number 123
_symmetry_space_group_name_Hall '-P 4 2'
_cell_length_a 4.157
_cell_length_b 4.157
_cell_length_c 8.777
_cell_angle_alpha 90.00
_cell_angle_beta 90.00
_cell_angle_gamma 90.00
loop_
_atom_site_label
_atom_site_fract_x
_atom_site_fract_y
_atom_site_fract_z
Cs1 0.000 0.000 0.000
Ba1 0.000 0.000 0.500
Br1 0.500 0.500 0.275



No. 3
# CsBaBr, relaxed, DFT PBE
# Spin magnetization (μB/atom): 0.03
# Formation energy from raw total energies (eV/atom): -1.01
# E_tot (eV per atom): -2.49
data_CsBaBr
_symmetry_space_group_name_H-M 'C 1 m 1'
_symmetry_Int_Tables_number 8
_cell_length_a 8.132
_cell_length_b 4.701
_cell_length_c 8.935
_cell_angle_alpha 90.00
_cell_angle_beta 90.19
_cell_angle_gamma 90.00
loop_
_symmetry_equiv_pos_as_xyz
'x,y,z'
'x,-y,z'
'x+1/2,y+1/2,z'
'x+1/2,-y+1/2,z'
loop_
_atom_site_label
_atom_site_fract_x
_atom_site_fract_y
_atom_site_fract_z
Cs1 0.000 0.000 0.000
Ba1 0.336 0.000 0.530
Br1 0.168 0.500 0.283



No. 4
# CsBa4Br8, relaxed, DFT PBE
# Spin magnetization (μB/atom): 0.00
# Formation energy from raw total energies (eV/atom): -1.95
# E_tot (eV per atom): -3.64
data_CsBa4Br8
_symmetry_space_group_name_H-M 'P m -3 m'
_symmetry_Int_Tables_number 221
_symmetry_space_group_name_Hall '-P 4 2 3'
_cell_length_a 7.957
_cell_length_b 7.957
_cell_length_c 7.957
_cell_angle_alpha 90.00
_cell_angle_beta 90.00
_cell_angle_gamma 90.00
loop_
_atom_site_label
_atom_site_fract_x
_atom_site_fract_y
_atom_site_fract_z
Cs1 0.000 0.000 0.000
Ba1 0.000 0.000 0.500
Ba2 0.500 0.500 0.500
Br1 0.253 0.253 0.253



No. 5
# Cs5Ba3Br12, relaxed, DFT PBE
# Spin magnetization (μB/atom): 0.06
# Formation energy from raw total energies (eV/atom): -1.72
# E_tot (eV per atom): -3.23
data_Cs5Ba3Br12
_symmetry_space_group_name_H-M 'I a -3 d'
_symmetry_Int_Tables_number 230
_symmetry_space_group_name_Hall '-I 4bd 2c 3'
_cell_length_a 20.060
_cell_length_b 20.060
_cell_length_c 20.060
_cell_angle_alpha 90.00
_cell_angle_beta 90.00
_cell_angle_gamma 90.00
loop_
_atom_site_label
_atom_site_fract_x
_atom_site_fract_y
_atom_site_fract_z
Cs1 0.000 0.000 0.000
Cs2 0.000 0.250 0.375
Ba1 0.000 0.250 0.125
Br1 0.017 0.088 0.653



No. 6
# Cs2BaBr4, relaxed, DFT PBE
# Spin magnetization (μB/atom): 0.00
# Formation energy from raw total energies (eV/atom): -1.97
# E_tot (eV per atom): -3.44
data_Cs2BaBr4
_symmetry_space_group_name_H-M 'P b a m'
_symmetry_Int_Tables_number 55
_cell_length_a 9.032
_cell_length_b 14.670
_cell_length_c 5.082
_cell_angle_alpha 90.00
_cell_angle_beta 90.00
_cell_angle_gamma 90.00
loop_
_symmetry_equiv_pos_as_xyz
'x,y,z'
'-x,-y,-z'
'-x,-y,z'
'x,y,-z'
'x+1/2,-y+1/2,-z'
'-x+1/2,y+1/2,z'
'-x+1/2,y+1/2,-z'
'x+1/2,-y+1/2,z'
loop_
_atom_site_label
_atom_site_fract_x
_atom_site_fract_y
_atom_site_fract_z
Cs1 0.075 0.181 0.000
Ba1 0.000 0.500 0.500
Br1 0.139 0.701 0.500
Br2 0.221 0.452 0.000



No. 7
# CsBaBr2, relaxed, DFT PBE
# Spin magnetization (μB/atom): 0.15
# Formation energy from raw total energies (eV/atom): -1.59
# E_tot (eV per atom): -3.12
data_CsBaBr2
_symmetry_space_group_name_H-M 'R 3 m'
_symmetry_Int_Tables_number 160
_symmetry_space_group_name_Hall 'R 3 -2"'
_cell_length_a 4.5626
_cell_length_b 4.5626
_cell_length_c 28.4756
_cell_angle_alpha 90.00
_cell_angle_beta 90.00
_cell_angle_gamma 120.00
loop_
_atom_site_label
_atom_site_fract_x
_atom_site_fract_y
_atom_site_fract_z
Cs1 0.0000 0.0000 0.0000
Ba1 0.0000 0.0000 0.1691
Br1 0.0000 0.0000 0.5806
Br2 0.0000 0.0000 0.7563



No. 8
# CsBaBr2, relaxed, DFT PBE
# Spin magnetization (μB/atom): 0.03
# Formation energy from raw total energies (eV/atom): -1.53
# E_tot (eV per atom): -3.06
data_CsBaBr2
_symmetry_space_group_name_H-M 'R -3 m'
_symmetry_Int_Tables_number 166
_symmetry_space_group_name_Hall '-R 3 2"'
_cell_length_a 5.1925
_cell_length_b 5.1925
_cell_length_c 30.9296
_cell_angle_alpha 90.00
_cell_angle_beta 90.00
_cell_angle_gamma 120.00
loop_
_atom_site_label
_atom_site_fract_x
_atom_site_fract_y
_atom_site_fract_z
Cs1 0.0000 0.0000 0.0000
Ba1 0.0000 0.0000 0.5000
Br1 0.0000 0.0000 0.4001



No. 9
# CsBa2Br2, relaxed, DFT PBE
# Spin magnetization (μB/atom): 0.00
# Formation energy from raw total energies (eV/atom): -1.17
# E_tot (eV per atom): -2.78
data_CsBa2Br2
_symmetry_space_group_name_H-M 'I 4/m m m'
_symmetry_Int_Tables_number 139
_symmetry_space_group_name_Hall '-I 4 2'
_cell_length_a 6.027
_cell_length_b 6.027
_cell_length_c 15.361
_cell_angle_alpha 90.00
_cell_angle_beta 90.00
_cell_angle_gamma 90.00
loop_
_atom_site_label
_atom_site_fract_x
_atom_site_fract_y
_atom_site_fract_z
Cs1 0.000 0.000 0.000
Ba1 0.000 0.000 0.350
Br1 0.000 0.500 0.250



No. 10
# Cs2BaBr4, relaxed, DFT PBE
# Spin magnetization (μB/atom): 0.00
# Formation energy from raw total energies (eV/atom): -1.95
# E_tot (eV per atom): -3.42
data_Cs2BaBr4
_symmetry_space_group_name_H-M 'C 1 2/m 1'
_symmetry_Int_Tables_number 12
_cell_length_a 16.011
_cell_length_b 4.810
_cell_length_c 9.907
_cell_angle_alpha 90.00
_cell_angle_beta 119.49
_cell_angle_gamma 90.00
loop_
_symmetry_equiv_pos_as_xyz
'x,y,z'
'-x,-y,-z'
'-x,y,-z'
'x,-y,z'
'x+1/2,y+1/2,z'
'-x+1/2,-y+1/2,-z'
'-x+1/2,y+1/2,-z'
'x+1/2,-y+1/2,z'
loop_
_atom_site_label
_atom_site_fract_x
_atom_site_fract_y
_atom_site_fract_z
Cs1 0.146 0.000 0.182
Ba1 0.000 0.500 0.500
Br1 0.047 0.500 0.852
Br2 0.156 0.000 0.573



No. 11
# Cs2Ba3Br8, relaxed, DFT PBE
# Spin magnetization (μB/atom): 0.02
# Formation energy from raw total energies (eV/atom): -2.06
# E_tot (eV per atom): -3.66
data_Cs2Ba3Br8
_symmetry_space_group_name_H-M 'C 1 2/m 1'
_symmetry_Int_Tables_number 12
_cell_length_a 17.519
_cell_length_b 9.896
_cell_length_c 8.380
_cell_angle_alpha 90.00
_cell_angle_beta 110.24
_cell_angle_gamma 90.00
loop_
_symmetry_equiv_pos_as_xyz
'x,y,z'
'-x,-y,-z'
'-x,y,-z'
'x,-y,z'
'x+1/2,y+1/2,z'
'-x+1/2,-y+1/2,-z'
'-x+1/2,y+1/2,-z'
'x+1/2,-y+1/2,z'
loop_
_atom_site_label
_atom_site_fract_x
_atom_site_fract_y
_atom_site_fract_z
Cs1 0.225 0.000 0.155
Ba1 0.000 0.243 0.500
Ba2 0.000 0.500 0.000
Br1 0.101 0.500 0.411
Br2 0.111 0.000 0.446
Br3 0.111 0.280 0.896



No. 12
# CsBa2Br5, relaxed, DFT PBE
# Spin magnetization (μB/atom): 0.00
# Formation energy from raw total energies (eV/atom): -2.12
# E_tot (eV per atom): -3.75
data_CsBa2Br5
_symmetry_space_group_name_H-M 'P 1 21/c 1'
_symmetry_Int_Tables_number 14
_cell_length_a 10.131
_cell_length_b 8.834
_cell_length_c 14.215
_cell_angle_alpha 90.00
_cell_angle_beta 90.19
_cell_angle_gamma 90.00
loop_
_symmetry_equiv_pos_as_xyz
'x,y,z'
'-x,-y,-z'
'-x,y+1/2,-z+1/2'
'x,-y+1/2,z+1/2'
loop_
_atom_site_label
_atom_site_fract_x
_atom_site_fract_y
_atom_site_fract_z
Cs1 0.011 0.053 0.334
Ba1 0.254 0.568 0.493
Ba2 0.499 0.524 0.178
Br1 0.035 0.171 0.081
Br2 0.275 0.692 0.716
Br3 0.289 0.550 0.997
Br4 0.290 0.168 0.816
Br5 0.462 0.161 0.101



No. 13
# Cs2BaBr4, relaxed, DFT PBE
# Spin magnetization (μB/atom): 0.00
# Formation energy from raw total energies (eV/atom): -1.94
# E_tot (eV per atom): -3.41
data_Cs2BaBr4
_symmetry_space_group_name_H-M 'I -4 2 d'
_symmetry_Int_Tables_number 122
_symmetry_space_group_name_Hall 'I -4 2bw'
_cell_length_a 10.354
_cell_length_b 10.354
_cell_length_c 10.750
_cell_angle_alpha 90.00
_cell_angle_beta 90.00
_cell_angle_gamma 90.00
loop_
_atom_site_label
_atom_site_fract_x
_atom_site_fract_y
_atom_site_fract_z
Cs1 0.110 0.250 0.125
Ba1 0.000 0.000 0.500
Br1 0.068 0.188 0.786



No. 14
# CsBaBr, relaxed, DFT PBE
# Spin magnetization (μB/atom): 0.08
# Formation energy from raw total energies (eV/atom): -1.00
# E_tot (eV per atom): -2.49
data_CsBaBr
_symmetry_space_group_name_H-M 'P 1'
_symmetry_Int_Tables_number 1
_cell_length_a 4.691
_cell_length_b 4.694
_cell_length_c 9.411
_cell_angle_alpha 75.76
_cell_angle_beta 75.67
_cell_angle_gamma 60.07
loop_
_symmetry_equiv_pos_as_xyz
'x,y,z'
loop_
_atom_site_label
_atom_site_fract_x
_atom_site_fract_y
_atom_site_fract_z
Cs1 0.000 0.000 0.000
Ba1 0.491 0.496 0.528
Br1 0.240 0.242 0.281



No. 15
# CsBaBr2, relaxed, DFT PBE
# Spin magnetization (μB/atom): 0.00
# Formation energy from raw total energies (eV/atom): -1.60
# E_tot (eV per atom): -3.13
data_CsBaBr2
_symmetry_space_group_name_H-M 'R -3 m'
_symmetry_Int_Tables_number 166
_symmetry_space_group_name_Hall '-R 3 2"'
_cell_length_a 5.1880
_cell_length_b 5.1880
_cell_length_c 30.7869
_cell_angle_alpha 90.00
_cell_angle_beta 90.00
_cell_angle_gamma 120.00
loop_
_atom_site_label
_atom_site_fract_x
_atom_site_fract_y
_atom_site_fract_z
Cs1 0.0000 0.0000 0.0000
Ba1 0.0000 0.0000 0.5000
Br1 0.0000 0.0000 0.1201



No. 16
# CsBa2Br5, relaxed, DFT PBE
# Spin magnetization (μB/atom): 0.01
# Formation energy from raw total energies (eV/atom): -2.08
# E_tot (eV per atom): -3.71
data_CsBa2Br5
_symmetry_space_group_name_H-M 'I m m m'
_symmetry_Int_Tables_number 71
_symmetry_space_group_name_Hall '-I 2 2'
_cell_length_a 4.958
_cell_length_b 8.102
_cell_length_c 17.069
_cell_angle_alpha 90.00
_cell_angle_beta 90.00
_cell_angle_gamma 90.00
loop_
_atom_site_label
_atom_site_fract_x
_atom_site_fract_y
_atom_site_fract_z
Cs1 0.000 0.000 0.000
Ba1 0.000 0.500 0.185
Br1 0.000 0.264 0.345
Br2 0.000 0.500 0.000



No. 17
# Cs2BaCu2Br7, relaxed, DFT PBE
# Spin magnetization (μB/atom): 0.00
# Formation energy from raw total energies (eV/atom): -1.26
# E_tot (eV per atom): -3.22
data_Cs2BaCu2Br7
_symmetry_space_group_name_H-M 'C 1 2/m 1'
_symmetry_Int_Tables_number 12
_cell_length_a 7.531
_cell_length_b 7.530
_cell_length_c 14.357
_cell_angle_alpha 90.00
_cell_angle_beta 105.12
_cell_angle_gamma 90.00
loop_
_symmetry_equiv_pos_as_xyz
'x,y,z'
'-x,-y,-z'
'-x,y,-z'
'x,-y,z'
'x+1/2,y+1/2,z'
'-x+1/2,-y+1/2,-z'
'-x+1/2,y+1/2,-z'
'x+1/2,-y+1/2,z'
loop_
_atom_site_label
_atom_site_fract_x
_atom_site_fract_y
_atom_site_fract_z
Cs1 0.179 0.000 0.360
Ba1 0.000 0.000 0.000
Cu1 0.094 0.500 0.188
Br1 0.000 0.500 0.000
Br2 0.166 0.250 0.832
Br3 0.185 0.500 0.372



No. 18
# CsBaDyBr6, relaxed, DFT PBE
# Spin magnetization (μB/atom): 0.00
# Formation energy from raw total energies (eV/atom): -1.99
# E_tot (eV per atom): -3.92
data_CsBaDyBr6
_symmetry_space_group_name_H-M 'P -3 1 c'
_symmetry_Int_Tables_number 163
_symmetry_space_group_name_Hall '-P 3 2c'
_cell_length_a 8.0650
_cell_length_b 8.0650
_cell_length_c 15.1179
_cell_angle_alpha 90.00
_cell_angle_beta 90.00
_cell_angle_gamma 120.00
loop_
_atom_site_label
_atom_site_fract_x
_atom_site_fract_y
_atom_site_fract_z
Cs1 0.0000 0.0000 0.0000
Ba1 0.3333 0.6667 0.2500
Dy1 0.3333 0.6667 0.7500
Br1 0.0395 0.3936 0.6411